Entry 1:
MnPtSe2 | Alexandria | PBE | relaxed; total energy = -5.814 eV per atom; uncorrected formation energy = -0.2690 eV/atom
1.0
-4.424 -3.408 -4.181
-1.909 -5.105 -4.355
-1.700 -2.847 3.183
Mn Pt Se
1 1 2
Cartesian
-2.008 -2.840 -1.338
-6.025 -8.520 -4.014
-5.694 -7.686 -7.361
-4.655 -6.506 -3.851



Entry 2:
MnPtSe4 | Alexandria | PBE | relaxed; total energy = -5.259 eV per atom; uncorrected formation energy = -0.4013 eV/atom
1.0
-3.661 0.063 -0.043
-0.047 -5.177 -3.615
-0.250 -7.315 10.462
Mn Pt Se
2 2 8
Cartesian
-0.125 -3.657 5.231
-1.854 -2.557 -1.829
-1.979 -6.214 3.402
0.000 0.000 0.000
-1.936 -3.677 3.499
-0.043 -2.537 -0.097
-2.022 -8.751 3.305
-3.915 -9.891 6.901
-0.130 -6.345 1.687
-1.896 -5.046 -1.900
-3.828 -6.084 5.117
-2.062 -7.382 8.704



Entry 3:
MnPt3Se | Alexandria | PBE | relaxed; total energy = -5.089 eV per atom; uncorrected formation energy = 1.0667 eV/atom
1.0
4.581 0.000 0.000
0.000 4.581 0.000
0.000 0.000 4.581
Mn Se Pt
1 1 3
Cartesian
0.000 0.000 0.000
2.290 2.290 2.290
0.000 2.290 0.000
0.000 0.000 2.290
2.290 0.000 0.000



The following calculated density values (in g/cm³) correspond, in order, to the records above: 7.2 6.4 12.4.